SrZnBi2: optimized geometry, PBE-GGA.

Cell: 4.1307 4.1307 8.9770 Å, 76.70 76.70 60.00°
Closest atoms and distances in Å follow each position.
Fractional positions:
Bi  0.2673  0.2673  0.1982  3 Zn 2.94
Bi  0.7327  0.7327  0.8018  3 Zn 2.94
Zn  0.0000  0.0000  0.0000  6 Bi 2.94
Sr  0.5000  0.5000  0.5000  6 Bi 3.54

Summary:
ΔH_f (0 K) in eV per atom: -0.15